Density functional theory data (PBE-GGA) for a relaxed ScGe2Mo crystal.

Output
Volume, Å³ per atom: 18.644
Offset from the most stable computed form, eV/atom: 0.421
Energy of formation, eV/f.u.: 0.66
Symmetry: I-42d
Theoretical density, Mg/m³: 6.4
E, Ry/atom: -0.4730

a = 9.8714 Å, b = 9.8714 Å, c = 9.8714 Å
α = 156.80°, β = 156.80°, γ = 33.04°
Last column: nearest neighbours and their distance in Å.
Atoms (fractional coordinates):
Sc1 0.0000 0.0000 0.0000  4 Ge 2.78, 4 Mo 2.81
Sc2 0.7500 0.2500 0.5000  4 Ge 2.78, 4 Mo 2.81
Ge1 0.1424 0.6250 0.0174  4 Ge 2.71-2.91, 2 Mo 2.73, 2 Sc 2.78
Ge2 0.3750 0.3924 0.5174  4 Ge 2.71-2.91, 2 Mo 2.73, 2 Sc 2.78
Ge3 0.6076 0.1250 0.9826  4 Ge 2.71-2.91, 2 Mo 2.73, 2 Sc 2.78
Ge4 0.8750 0.8576 0.4826  4 Ge 2.71-2.91, 2 Mo 2.73, 2 Sc 2.78
Mo1 0.2500 0.7500 0.5000  4 Ge 2.73, 4 Sc 2.81
Mo2 0.5000 0.5000 0.0000  4 Ge 2.73, 4 Sc 2.81